DFT (PBE) results for a relaxed structure of AcNdCdBi.

Results
Calculated density ... 8.8 g/cm3
SG ... F-43m, No. 216
Formation energy from the elements ... -0.470 eV per atom
Calculated volume ... 32.60 Å³/atom

abc: 5.692 5.692 5.692
angles: 60.00 60.00 60.00
Element x y z (fractional)
Nd 0.000 0.000 0.000
Bi 0.250 0.250 0.250
Ac 0.500 0.500 0.500
Cd 0.750 0.750 0.750



DFT (PBE) results for a relaxed structure of TlTeP2Se8.

Results
Calculated density ... 5.0 g/cm3
SG ... R-3, No. 148
ΔE_f (raw) ... 0.0130 eV/atom
Calculated volume ... 28.14 Å³/atom

abc: 6.306 6.306 10.459
angles: 72.46 72.46 60.00
Element x y z (fractional)
Se 0.594 0.319 0.177
Tl 0.500 0.500 0.500
Se 0.822 0.822 0.533
P 0.252 0.252 0.245
Se 0.091 0.406 0.823
Se 0.909 0.594 0.177
Te 0.000 0.000 0.000
P 0.748 0.748 0.755
Se 0.178 0.178 0.467
Se 0.406 0.681 0.823
Se 0.681 0.091 0.823
Se 0.319 0.909 0.177



DFT (PBE) results for a relaxed structure of SmScAu.

Results
Calculated density ... 8.8 g/cm3
SG ... I4mm, No. 107
Formation energy from the elements ... -0.495 eV per atom
Offset from the most stable computed form ... 106.7 meV per atom
Calculated volume ... 24.78 Å³/atom

abc: 3.516 3.516 6.507
angles: 105.67 105.67 90.00
Element x y z (fractional)
Au 0.685 0.685 0.370
Sm 0.011 0.011 0.021
Sc 0.304 0.304 0.608



DFT (PBE) results for a relaxed structure of Ba3AgI3.

Results
Calculated density ... 4.2 g/cm3
SG ... Imma, No. 74
ΔE_f (raw) ... -1.1293 eV/atom
Calculated volume ... 51.00 Å³/atom

abc: 10.050 10.050 10.514
angles: 58.43 58.43 56.80
Element x y z (fractional)
Ba 0.500 0.000 0.771
Ba 0.014 0.014 0.237
Ba 0.000 0.500 0.229
I 0.749 0.251 0.500
I 0.251 0.749 0.000
Ag 0.237 0.237 0.013
I 0.759 0.759 0.491
Ba 0.986 0.986 0.763
Ag 0.763 0.763 0.987
I 0.749 0.251 0.000
I 0.251 0.749 0.500
I 0.241 0.241 0.509
Ba 0.000 0.500 0.771
Ba 0.500 0.000 0.229



DFT (PBE) results for a relaxed structure of Fe3Re.

Results
Calculated density ... 12.6 g/cm3
SG ... Pnma, No. 62
Formation energy from the elements ... 0.119 eV per atom
Calculated volume ... 11.65 Å³/atom

abc: 4.429 8.204 5.131
angles: 90.00 90.00 90.00
Element x y z (fractional)
Re 0.918 0.250 0.391
Fe 0.742 0.500 0.632
Fe 0.083 0.750 0.125
Fe 0.417 0.250 0.625
Fe 0.258 0.500 0.368
Fe 0.758 0.500 0.132
Fe 0.917 0.250 0.875
Fe 0.242 0.000 0.868
Fe 0.758 0.000 0.132
Re 0.082 0.750 0.609
Re 0.582 0.750 0.891
Fe 0.242 0.500 0.868
Fe 0.583 0.750 0.375
Re 0.418 0.250 0.109
Fe 0.742 0.000 0.632
Fe 0.258 0.000 0.368



DFT (PBE) results for a relaxed structure of Th3Sb2Au.

Results
Calculated density ... 10.1 g/cm3
SG ... P2_1/c, No. 14
ΔE_f (raw) ... -0.7542 eV/atom
Calculated volume ... 31.15 Å³/atom

abc: 6.306 8.946 13.250
angles: 90.00 90.00 89.95
Element x y z (fractional)
Sb 0.751 0.624 0.919
Th 0.749 0.891 0.076
Th 0.749 0.364 0.081
Th 0.749 0.391 0.424
Sb 0.749 0.627 0.241
Sb 0.249 0.876 0.419
Sb 0.251 0.873 0.741
Au 0.751 0.622 0.590
Th 0.751 0.370 0.752
Sb 0.749 0.127 0.259
Th 0.251 0.109 0.924
Th 0.749 0.864 0.419
Th 0.751 0.870 0.748
Th 0.249 0.130 0.252
Th 0.251 0.136 0.581
Au 0.751 0.122 0.910
Sb 0.249 0.376 0.081
Sb 0.251 0.373 0.759
Th 0.251 0.609 0.576
Th 0.249 0.630 0.248
Au 0.249 0.378 0.410
Th 0.251 0.636 0.919
Au 0.249 0.878 0.090
Sb 0.751 0.124 0.581



DFT (PBE) results for a relaxed structure of TmHPdRh2.

Results
Calculated density ... 11.8 g/cm3
SG ... P4/mmm, No. 123
Calculated volume ... 13.58 Å³/atom
E_tot ... -6.140 eV per atom

abc: 4.079 4.080 4.080
angles: 90.00 90.00 90.00
Element x y z (fractional)
Tm 0.500 0.500 0.500
Pd 0.500 0.000 0.000
Rh 0.000 0.000 0.500
Rh 0.000 0.500 0.000
H 0.000 0.000 0.000



DFT (PBE) results for a relaxed structure of HfFe9Re2.

Results
Calculated density ... 11.7 g/cm3
SG ... R-3m, No. 166
Formation energy from the elements ... -0.021 eV per atom
Calculated volume ... 12.51 Å³/atom

abc: 4.716 4.716 8.253
angles: 73.40 73.40 60.00
Element x y z (fractional)
Fe 0.667 0.667 0.000
Fe 0.589 0.083 0.740
Fe 0.411 0.411 0.260
Hf 0.000 0.000 0.000
Fe 0.500 0.500 0.500
Re 0.147 0.147 0.559
Fe 0.589 0.589 0.740
Fe 0.411 0.917 0.260
Re 0.853 0.853 0.441
Fe 0.083 0.589 0.740
Fe 0.917 0.411 0.260
Fe 0.333 0.333 0.000



DFT (PBE) results for a relaxed structure of BaScCr2.

Results
Calculated density ... 4.4 g/cm3
SG ... C2/m, No. 12
Formation energy from the elements ... 0.861 eV per atom
Offset from the most stable computed form ... 331.9 meV per atom
Calculated volume ... 27.06 Å³/atom

abc: 4.877 4.877 7.193
angles: 83.15 83.15 39.63
Element x y z (fractional)
Sc 0.750 0.750 0.750
Cr 0.009 0.009 0.911
Ba 0.250 0.250 0.250
Cr 0.491 0.491 0.589



DFT (PBE) results for a relaxed structure of ZnCo2Ru.

Results
Calculated density ... 9.7 g/cm3
SG ... P2/m, No. 10
Formation energy from the elements ... 0.101 eV per atom
Calculated volume ... 12.15 Å³/atom

abc: 3.582 2.624 5.793
angles: 63.15 90.00 90.00
Element x y z (fractional)
Zn 0.500 0.750 0.750
Co 0.000 0.993 0.006
Co 0.000 0.507 0.494
Ru 0.500 0.250 0.250



DFT (PBE) results for a relaxed structure of TmSc3Tl.

Results
Calculated density ... 6.6 g/cm3
SG ... C2/c, No. 15
Formation energy from the elements ... -0.028 eV per atom
Offset from the most stable computed form ... 0.0 meV per atom
Calculated volume ... 25.53 Å³/atom

abc: 6.199 9.254 9.254
angles: 83.20 79.27 79.27
Element x y z (fractional)
Sc 0.856 0.275 0.124
Sc 0.463 0.206 0.588
Sc 0.963 0.588 0.206
Sc 0.856 0.008 0.378
Sc 0.356 0.378 0.008
Tl 0.750 0.919 0.081
Sc 0.644 0.622 0.992
Tm 0.461 0.466 0.324
Sc 0.537 0.794 0.412
Sc 0.644 0.876 0.725
Sc 0.037 0.412 0.794
Tl 0.250 0.819 0.181
Tl 0.750 0.181 0.819
Sc 0.356 0.124 0.275
Sc 0.144 0.992 0.622
Tm 0.539 0.534 0.676
Tl 0.250 0.081 0.919
Sc 0.144 0.725 0.876
Tm 0.961 0.324 0.466
Tm 0.039 0.676 0.534



DFT (PBE) results for a relaxed structure of CaTlH2.

Results
Calculated density ... 5.3 g/cm3
SG ... R-3m, No. 166
Offset from the most stable computed form ... 0.0 meV per atom
Calculated volume ... 19.20 Å³/atom

abc: 3.651 3.651 6.977
angles: 74.83 74.83 60.00
Element x y z (fractional)
H 0.125 0.125 0.624
H 0.875 0.875 0.376
Ca 0.500 0.500 0.500
Tl 0.000 0.000 0.000



What did the tenth record say?
DFT (PBE) results for a relaxed structure of ZnCo2Ru.

Results
Calculated density ... 9.7 g/cm3
SG ... P2/m, No. 10
Formation energy from the elements ... 0.101 eV per atom
Calculated volume ... 12.15 Å³/atom

abc: 3.582 2.624 5.793
angles: 63.15 90.00 90.00
Element x y z (fractional)
Zn 0.500 0.750 0.750
Co 0.000 0.993 0.006
Co 0.000 0.507 0.494
Ru 0.500 0.250 0.250